VASP calculation (GGA-PBEsol) on crystalline Ca2Al3Si3O13 at its relaxed geometry.

As for the formation energy without anion corrections: -60.89 eV/f.u. Its total energy is -7.7575 eV/atom. For the energy above the most stable polymorph in this dataset, the calculation gives 2 meV/atom.

a = 5.7131 Å, b = 10.5828 Å, c = 15.5410 Å
α = 90.00°, β = 90.00°, γ = 90.00°
With the nearest neighbours (Å) after each atom.
Positions (direct):
O (0.9842, 0.2690, 0.3566)  1 Si 1.64
O (0.7500, 0.6712, 0.5005)  1 Si 1.60
O (0.2500, 0.3184, 0.2162)  1 Si 1.66
O (0.4826, 0.0543, 0.5927)  1 Si 1.65, 1 Al 1.81
O (0.7500, 0.8957, 0.7091)  2 Al 1.85
O (0.7500, 0.6043, 0.2091)  2 Al 1.85
O (0.2500, 0.1816, 0.7162)  1 Si 1.66
O (0.4818, 0.3957, 0.6445)  1 Si 1.63
O (0.2500, 0.7134, 0.7957)  3 Al 1.74-1.85
O (0.7500, 0.4388, 0.4503)  2 Si 1.64-1.66
O (0.0158, 0.7310, 0.6434)  1 Si 1.64
O (0.2500, 0.3288, 0.4995)  1 Si 1.60
O (0.2500, 0.7001, 0.0029)  1 Si 1.60, 1 Al 1.74
O (0.2500, 0.5612, 0.5497)  2 Si 1.64-1.66
O (0.2500, 0.9388, 0.0497)  2 Si 1.64-1.66
O (0.7500, 0.8184, 0.2838)  1 Si 1.66
O (0.5158, 0.2690, 0.3566)  1 Si 1.64
O (0.9818, 0.6043, 0.3555)  1 Si 1.63
O (0.9842, 0.2310, 0.8566)  1 Si 1.64
O (0.4842, 0.7690, 0.1434)  1 Si 1.64
O (0.5182, 0.6043, 0.3555)  1 Si 1.63
O (0.4842, 0.7310, 0.6434)  1 Si 1.64
O (0.9826, 0.5543, 0.9073)  1 Si 1.65, 1 Al 1.81
O (0.0174, 0.0543, 0.5927)  1 Si 1.65, 1 Al 1.81
O (0.2500, 0.7866, 0.2957)  3 Al 1.74-1.85
O (0.7500, 0.2134, 0.7043)  3 Al 1.74-1.85
O (0.4826, 0.4457, 0.0927)  1 Si 1.65, 1 Al 1.81
O (0.9818, 0.8957, 0.8555)  1 Si 1.63
O (0.0182, 0.3957, 0.6445)  1 Si 1.63
O (0.7500, 0.0612, 0.9503)  2 Si 1.64-1.66
O (0.5182, 0.8957, 0.8555)  1 Si 1.63
O (0.7500, 0.0721, 0.2817)  1 Si 1.64
O (0.7500, 0.8288, 0.0005)  1 Si 1.60
O (0.0174, 0.4457, 0.0927)  1 Si 1.65, 1 Al 1.81
O (0.4818, 0.1043, 0.1445)  1 Si 1.63
O (0.2500, 0.3957, 0.7909)  2 Al 1.85
O (0.7500, 0.2001, 0.4971)  1 Si 1.60, 1 Al 1.74
O (0.7500, 0.4279, 0.7817)  1 Si 1.64
O (0.9826, 0.9457, 0.4073)  1 Si 1.65, 1 Al 1.81
O (0.7500, 0.6816, 0.7838)  1 Si 1.66
O (0.0158, 0.7690, 0.1434)  1 Si 1.64
O (0.0182, 0.1043, 0.1445)  1 Si 1.63
O (0.5174, 0.9457, 0.4073)  1 Si 1.65, 1 Al 1.81
O (0.2500, 0.5721, 0.2183)  1 Si 1.64
O (0.2500, 0.9279, 0.7183)  1 Si 1.64
O (0.2500, 0.1712, 0.9995)  1 Si 1.60
O (0.2500, 0.7999, 0.5029)  1 Si 1.60, 1 Al 1.74
O (0.5158, 0.2310, 0.8566)  1 Si 1.64
O (0.5174, 0.5543, 0.9073)  1 Si 1.65, 1 Al 1.81
O (0.7500, 0.2866, 0.2043)  3 Al 1.74-1.85
O (0.2500, 0.1043, 0.2909)  2 Al 1.85
O (0.7500, 0.2999, 0.9971)  1 Si 1.60, 1 Al 1.74
Ca (0.2500, 0.3657, 0.9497)  1 O 2.20
Ca (0.2500, 0.1343, 0.4497)  1 O 2.20
Ca (0.7500, 0.9410, 0.1311)  5 O 2.32-2.38
Ca (0.2500, 0.4410, 0.3689)  5 O 2.32-2.38
Ca (0.7500, 0.5590, 0.6311)  5 O 2.32-2.38
Ca (0.2500, 0.0590, 0.8689)  5 O 2.32-2.38
Ca (0.7500, 0.8657, 0.5503)  1 O 2.20
Ca (0.7500, 0.6343, 0.0503)  1 O 2.20
Al (0.4971, 0.8068, 0.7528)  6 O 1.85-2.02
Al (0.5029, 0.3068, 0.7472)  6 O 1.85-2.02
Al (0.7500, 0.3549, 0.1025)  4 O 1.74-1.81
Al (0.5029, 0.1932, 0.2472)  6 O 1.85-2.02
Al (0.9971, 0.1932, 0.2472)  6 O 1.85-2.02
Al (0.9971, 0.3068, 0.7472)  6 O 1.85-2.02
Al (0.2500, 0.6451, 0.8975)  4 O 1.74-1.81
Al (0.7500, 0.1451, 0.6025)  4 O 1.74-1.81
Al (0.2500, 0.8549, 0.3975)  4 O 1.74-1.81
Al (0.0029, 0.8068, 0.7528)  6 O 1.85-2.02
Al (0.0029, 0.6932, 0.2528)  6 O 1.85-2.02
Al (0.4971, 0.6932, 0.2528)  6 O 1.85-2.02
Si (0.2500, 0.4471, 0.1556)  4 O 1.64-1.66
Si (0.7500, 0.2077, 0.9155)  4 O 1.60-1.64
Si (0.2500, 0.4130, 0.5849)  4 O 1.60-1.66
Si (0.7500, 0.5870, 0.4151)  4 O 1.60-1.66
Si (0.7500, 0.5529, 0.8444)  4 O 1.64-1.66
Si (0.2500, 0.7923, 0.0845)  4 O 1.60-1.64
Si (0.7500, 0.9130, 0.9151)  4 O 1.60-1.66
Si (0.7500, 0.9471, 0.3444)  4 O 1.64-1.66
Si (0.2500, 0.0529, 0.6556)  4 O 1.64-1.66
Si (0.7500, 0.2923, 0.4155)  4 O 1.60-1.64
Si (0.2500, 0.0870, 0.0849)  4 O 1.60-1.66
Si (0.2500, 0.7077, 0.5845)  4 O 1.60-1.64

***

VASP calculation (GGA-PBEsol) on crystalline Na2TiPdI at its relaxed geometry.

As for the formation energy without anion corrections: 0.88 eV/f.u. Its total energy is -3.5939 eV/atom.

a = 4.8129 Å, b = 5.4388 Å, c = 5.4388 Å
α = 90.00°, β = 90.00°, γ = 90.00°
With the nearest neighbours (Å) after each atom.
Positions (direct):
I (0.5000, 0.5000, 0.5000)  8 Na 3.63, 4 Ti 3.85
Ti (0.5000, 0.0000, 0.0000)  2 Pd 2.41
Pd (0.0000, 0.0000, 0.0000)  2 Ti 2.41
Na (0.0000, 0.5000, 0.0000)  2 Pd 2.72
Na (0.0000, 0.0000, 0.5000)  2 Pd 2.72

***

What is the formation energy without anion corrections in the first record?
-60.89 eV/f.u.